*A*
Density functional theory data (PBEsol) for an optimized crystal structure of OsRuRh2.

Cell: 3.758 3.758 4.660 Å, 113.78 113.78 90.00°
Atoms (fractional coordinates):
Rh  0.250  0.750  0.500
Rh  0.750  0.250  0.500
Os  0.000  0.000  0.000
Ru  0.500  0.500  0.000

- SG: I4/mmm (139)


*B*
Density functional theory data (PBEsol) for an optimized crystal structure of OsRuRh2.

Cell: 2.643 4.140 5.166 Å, 90.00 104.82 90.00°
Atoms (fractional coordinates):
Ru  0.079  0.000  0.158
Rh  0.825  0.000  0.651
Rh  0.682  0.500  0.365
Os  0.428  0.500  0.855

- SG: Amm2 (38)


We find *A* to be the most stable, with the next structure 93 meV/atom higher.


*A*
Density functional theory data (PBEsol) for an optimized crystal structure of SrYPt2.

Cell: 3.879 4.406 5.786 Å, 90.00 109.59 90.00°
Atoms (fractional coordinates):
Pt  0.208  0.000  0.417
Pt  0.051  0.500  0.102
Sr  0.481  0.000  0.962
Y  0.760  0.500  0.519

- SG: Amm2 (38)


*B*
Density functional theory data (PBEsol) for an optimized crystal structure of SrYPt2.

Cell: 4.968 4.968 4.968 Å, 60.00 60.00 60.00°
Atoms (fractional coordinates):
Y  0.000  0.000  0.000
Sr  0.500  0.500  0.500
Pt  0.250  0.250  0.250
Pt  0.750  0.750  0.750

- SG: Fm-3m (225)


We find *A* to be the most stable, with the next structure 45 meV/atom higher.


*A*
Density functional theory data (PBEsol) for an optimized crystal structure of AlPPb2.

Cell: 3.775 4.945 4.945 Å, 95.61 90.11 90.11°
Atoms (fractional coordinates):
Pb  0.000  0.500  0.000
Pb  0.000  0.000  0.500
P  0.500  0.000  0.000
Al  0.500  0.500  0.500

- SG: C2/m (12)


*B*
Density functional theory data (PBEsol) for an optimized crystal structure of AlPPb2.

Cell: 3.464 3.461 8.269 Å, 101.71 102.09 90.00°
Atoms (fractional coordinates):
P  0.500  0.000  0.000
Al  0.000  0.500  0.000
Pb  0.169  0.169  0.339
Pb  0.831  0.831  0.661

- SG: C2/m (12)


We find *B* to be the most stable, with the next structure 314 meV/atom higher.


*A*
Density functional theory data (PBEsol) for an optimized crystal structure of FeAgIr2.

Cell: 2.707 2.707 7.689 Å, 90.00 90.00 90.00°
Atoms (fractional coordinates):
Ag  0.000  0.000  0.510
Fe  0.500  0.500  0.764
Ir  0.000  0.000  0.993
Ir  0.500  0.500  0.234

- SG: P4mm (99)


*B*
Density functional theory data (PBEsol) for an optimized crystal structure of FeAgIr2.

Cell: 2.695 4.212 5.222 Å, 90.00 105.19 90.00°
Atoms (fractional coordinates):
Fe  0.000  0.500  0.500
Ir  0.145  0.000  0.269
Ir  0.855  0.000  0.731
Ag  0.500  0.500  0.000

- SG: P2/m (10)


We find *A* to be the most stable, with the next structure 102 meV/atom higher.


*A*
Density functional theory data (PBEsol) for an optimized crystal structure of BaLi2Co.

Cell: 4.222 4.222 10.752 Å, 101.32 101.32 90.00°
Atoms (fractional coordinates):
Li  0.625  0.543  0.750
Li  0.793  0.375  0.250
Li  0.125  0.207  0.750
Li  0.457  0.875  0.250
Ba  0.000  0.000  0.000
Ba  0.250  0.750  0.500
Co  0.500  0.500  0.000
Co  0.750  0.250  0.500

- SG: I-42d (122)


*B*
Density functional theory data (PBEsol) for an optimized crystal structure of BaLi2Co.

Cell: 3.100 5.416 5.416 Å, 118.20 90.00 90.00°
Atoms (fractional coordinates):
Co  0.500  0.500  0.500
Ba  0.500  0.000  0.000
Li  0.000  0.500  0.000
Li  0.000  0.000  0.500

- SG: Cmmm (65)


We find *A* to be the most stable, with the next structure 106 meV/atom higher.


*A*
Density functional theory data (PBEsol) for an optimized crystal structure of La2W.

Cell: 5.499 5.499 6.366 Å, 64.41 64.41 60.00°
Atoms (fractional coordinates):
La  0.819  0.500  0.500
La  0.500  0.181  0.500
La  0.000  0.000  0.000
La  0.181  0.819  0.500
W  0.668  0.668  0.996
W  0.332  0.332  0.004

- SG: R32 (155)


*B*
Density functional theory data (PBEsol) for an optimized crystal structure of La2W.

Cell: 2.952 5.242 5.242 Å, 120.00 90.00 90.00°
Atoms (fractional coordinates):
W  0.500  0.000  0.000
La  0.000  0.333  0.667
La  0.000  0.667  0.333

- SG: P6/mmm (191)


We find *B* to be the most stable, with the next structure 165 meV/atom higher.